(1)
A plane-wave DFT calculation with PBE-GGA was carried out for a relaxed Ac5Te4Se2 crystal.

```
data_Ac5Te4Se2
_chemical_formula_sum 'Ac15 Te12 Se6'
_cell_length_a 4.7551
_cell_length_b 4.7551
_cell_length_c 71.1396
_cell_angle_alpha 90.00
_cell_angle_beta 90.00
_cell_angle_gamma 120.00
_symmetry_space_group_name_H-M 'R -3 m'
_symmetry_Int_Tables_number 166
_symmetry_space_group_name_Hall '-R 3 2"'
loop_
_atom_site_label
_atom_site_type_symbol
_atom_site_fract_x
_atom_site_fract_y
_atom_site_fract_z
Ac1 Ac 0.0000 0.0000 0.0000
Ac2 Ac 0.0000 0.0000 0.1191
Ac3 Ac 0.0000 0.0000 0.2866
Te1 Te 0.0000 0.0000 0.0736
Te2 Te 0.0000 0.0000 0.1915
Se1 Se 0.0000 0.0000 0.3572
```

Computed properties:
**Volume**: 1393.05 Å³/cell
**Total energy**: -5.083 eV/atom
**ΔE_f (raw)**: -138.93 kJ/mol of atoms



(2)
A plane-wave DFT calculation with PBE-GGA was carried out for a relaxed AcTeSe crystal.

```
data_AcTeSe
_chemical_formula_sum 'Ac1 Te1 Se1'
_cell_length_a 5.1424
_cell_length_b 5.1424
_cell_length_c 4.5293
_cell_angle_alpha 90.00
_cell_angle_beta 90.00
_cell_angle_gamma 120.00
_symmetry_space_group_name_H-M 'P -6 m 2'
_symmetry_Int_Tables_number 187
_symmetry_space_group_name_Hall 'P -6 2'
loop_
_atom_site_label
_atom_site_type_symbol
_atom_site_fract_x
_atom_site_fract_y
_atom_site_fract_z
Ac1 Ac 0.0000 0.0000 0.0000
Te1 Te 0.3333 0.6667 0.5000
Se1 Se 0.6667 0.3333 0.0000
```

Computed properties:
**Volume**: 103.73 Å³/cell
**Total energy**: -4.776 eV/atom
**ΔE_f (raw)**: -115.55 kJ/mol of atoms